Record 1
K2CeF6 (PBE, optimized geometry); electronic total energy = -5.54 eV per atom
1.0
6.626 0.000 0.000
-3.313 5.738 0.000
0.000 0.000 3.756
K Ce F
2 1 6
direct
0.333 0.667 0.000
0.667 0.333 0.000
0.000 0.000 0.500
0.000 0.337 0.500
0.000 0.773 0.000
0.227 0.227 0.000
0.337 0.000 0.500
0.663 0.663 0.500
0.773 0.000 0.000

---

Record 2
KCe2F6 (PBE, optimized geometry); electronic total energy = -6.23 eV per atom
1.0
-2.067 2.067 9.187
2.067 -2.067 9.187
2.067 2.067 -9.187
K Ce F
1 2 6
direct
0.000 0.000 0.000
0.334 0.334 0.000
0.666 0.666 0.000
0.097 0.597 0.500
0.250 0.750 0.500
0.403 0.903 0.500
0.597 0.097 0.500
0.750 0.250 0.500
0.903 0.403 0.500